The following is a DFT calculation (PBE) of FeSi3Sb after structural relaxation.

The structure belongs to space group Pm-3m (No. 221); the cell edges are 4.4638, 4.4638 and 4.4638 Å and the angles 90.00°, 90.00° and 90.00°. The distinct sites, in fractional coordinates, are Fe at (0.0000, 0.0000, 0.0000), Si at (0.0000, 0.0000, 0.5000) and Sb at (0.5000, 0.5000, 0.5000).

As for the density of states at the Fermi level: 0.814 states/eV per atom. The value obtained for the energy above the lowest structure with this stoichiometry is 0.000 eV/atom. For the uncorrected formation energy, the calculation gives 0.34 eV per atom.

***

The following is a DFT calculation (PBE) of FeSiSb2 after structural relaxation.

The structure belongs to space group Cmmm (No. 65); the cell edges are 6.2577, 7.4518 and 3.3966 Å and the angles 90.00°, 90.00° and 90.00°. The distinct sites, in fractional coordinates, are Fe at (0.0000, 0.0000, 0.0000), Si at (0.0000, 0.5000, 0.0000) and Sb at (0.2500, 0.2500, 0.5000).

As for the density of states at the Fermi level: 0.995 states/eV per atom. For the uncorrected formation energy, the calculation gives 0.56 eV per atom.

***

The following is a DFT calculation (PBE) of FeSiSb2 after structural relaxation.

The structure belongs to space group I-4m2 (No. 119); the cell edges are 4.0389, 4.0389 and 10.0853 Å and the angles 90.00°, 90.00° and 90.00°. The distinct sites, in fractional coordinates, are Fe at (0.0000, 0.0000, 0.0000), Si at (0.0000, 0.5000, 0.2500), Sb at (0.0000, 0.0000, 0.5000) and Sb at (0.0000, 0.5000, 0.7500).

As for the density of states at the Fermi level: 1.136 states/eV per atom. For the uncorrected formation energy, the calculation gives 0.62 eV per atom.

***

The following is a DFT calculation (PBE) of FeSi2Sb after structural relaxation.

The structure belongs to space group I4/mmm (No. 139); the cell edges are 3.8074, 3.8074 and 9.3471 Å and the angles 90.00°, 90.00° and 90.00°. The distinct sites, in fractional coordinates, are Fe at (0.0000, 0.0000, 0.0000), Si at (0.0000, 0.5000, 0.2500) and Sb at (0.0000, 0.0000, 0.5000).

As for the density of states at the Fermi level: 1.232 states/eV per atom. For the uncorrected formation energy, the calculation gives 0.60 eV per atom.

***

The following is a DFT calculation (PBE) of Fe3SiSb after structural relaxation.

The structure belongs to space group Pm-3m (No. 221); the cell edges are 4.7152, 4.7152 and 4.7152 Å and the angles 90.00°, 90.00° and 90.00°. The distinct sites, in fractional coordinates, are Fe at (0.0000, 0.0000, 0.5000), Si at (0.5000, 0.5000, 0.5000) and Sb at (0.0000, 0.0000, 0.0000).

As for the density of states at the Fermi level: 1.020 states/eV per atom. The value obtained for the energy above the lowest structure with this stoichiometry is 0.741 eV/atom. For the uncorrected formation energy, the calculation gives 1.42 eV per atom.

***

The following is a DFT calculation (PBE) of FeSiSb3 after structural relaxation.

The structure belongs to space group Pm-3m (No. 221); the cell edges are 5.1038, 5.1038 and 5.1038 Å and the angles 90.00°, 90.00° and 90.00°. The distinct sites, in fractional coordinates, are Fe at (0.0000, 0.0000, 0.0000), Si at (0.5000, 0.5000, 0.5000) and Sb at (0.0000, 0.5000, 0.5000).

As for the density of states at the Fermi level: 2.104 states/eV per atom. The value obtained for the energy above the lowest structure with this stoichiometry is 0.718 eV/atom. For the uncorrected formation energy, the calculation gives 1.35 eV per atom.

***

The following is a DFT calculation (PBE) of FeSiSb after structural relaxation.

The structure belongs to space group Amm2 (No. 38); the cell edges are 2.9374, 3.6305 and 19.8827 Å and the angles 90.00°, 90.00° and 90.00°. The distinct sites, in fractional coordinates, are Fe at (0.0000, 0.0000, 0.0000), Fe at (0.0000, 0.0000, 0.3937), Si at (0.5000, 0.0000, 0.4977), Si at (0.5000, 0.0000, 0.9088), Sb at (0.0000, 0.0000, 0.1293) and Sb at (0.0000, 0.0000, 0.7864).

As for the density of states at the Fermi level: 0.296 states/eV per atom. For the uncorrected formation energy, the calculation gives -0.09 eV per atom.

***

The following is a DFT calculation (PBE) of FeSi2Sb after structural relaxation.

The structure belongs to space group I-42d (No. 122); the cell edges are 5.5694, 5.5694 and 11.2852 Å and the angles 90.00°, 90.00° and 90.00°. The distinct sites, in fractional coordinates, are Fe at (0.0000, 0.0000, 0.0000), Si at (0.1771, 0.2500, 0.1250) and Sb at (0.0000, 0.0000, 0.5000).

As for the density of states at the Fermi level: 0.881 states/eV per atom. For the uncorrected formation energy, the calculation gives 0.45 eV per atom.

***

The following is a DFT calculation (PBE) of Fe4SiSb after structural relaxation.

The structure belongs to space group F-43m (No. 216); the cell edges are 6.8489, 6.8489 and 6.8489 Å and the angles 90.00°, 90.00° and 90.00°. The distinct sites, in fractional coordinates, are Fe at (0.1244, 0.1244, 0.1244), Si at (0.2500, 0.2500, 0.7500) and Sb at (0.0000, 0.0000, 0.5000).

As for the density of states at the Fermi level: 0.793 states/eV per atom. For the uncorrected formation energy, the calculation gives 0.22 eV per atom.

***

The following is a DFT calculation (PBE) of FeSi2Sb after structural relaxation.

The structure belongs to space group Immm (No. 71); the cell edges are 2.8495, 4.2595 and 10.7343 Å and the angles 90.00°, 90.00° and 90.00°. The distinct sites, in fractional coordinates, are Fe at (0.0000, 0.0000, 0.0000), Si at (0.0000, 0.5000, 0.3042) and Sb at (0.0000, 0.0000, 0.5000).

As for the density of states at the Fermi level: 0.804 states/eV per atom. For the uncorrected formation energy, the calculation gives 0.41 eV per atom.

***

The following is a DFT calculation (PBE) of FeSiSb after structural relaxation.

The structure belongs to space group Pm (No. 6); the cell edges are 2.8826, 3.6653 and 10.3218 Å and the angles 90.00°, 90.70° and 90.00°. The distinct sites, in fractional coordinates, are Fe at (0.0000, 0.0000, 0.0000), Fe at (0.0081, 0.5000, 0.1971), Si at (0.5002, 0.5000, 0.0127), Si at (0.5082, 0.0000, 0.1984), Sb at (0.0174, 0.5000, 0.4444) and Sb at (0.4860, 0.0000, 0.7790).

As for the density of states at the Fermi level: 0.490 states/eV per atom. For the uncorrected formation energy, the calculation gives -0.09 eV per atom.

***

The following is a DFT calculation (PBE) of FeSiSb2 after structural relaxation.

The structure belongs to space group Cm (No. 8); the cell edges are 6.7782, 3.9159 and 6.7927 Å and the angles 90.00°, 109.66° and 90.00°. The distinct sites, in fractional coordinates, are Fe at (0.0000, 0.0000, 0.0000), Si at (0.1667, 0.5000, 0.0006), Sb at (0.2418, 0.0000, 0.7316) and Sb at (0.4244, 0.0000, 0.2703).

As for the density of states at the Fermi level: 0.444 states/eV per atom. For the uncorrected formation energy, the calculation gives 0.04 eV per atom.